Compound: Pr9Ho4Tl11
Source: Alexandria via LeMat-Bulk
Functional: PBE
Structure: relaxed

Properties
- E (eV per atom) = -3.9415
- formation energy from the elements (eV/f.u.) = -7.2

Cell lengths 14.2844, 14.2844, 3.5746 Å; angles 90.00, 90.00, 101.81 degrees
Closest atoms and distances in Å follow each position.
Fractional coordinates of all 24 atoms:
Pr  0.0000  0.0000  0.0000  4 Ho 3.32, 4 Tl 3.46, 2 Pr 3.57
Pr  0.1272  0.6409  0.0000  8 Tl 3.40-3.67, 1 Ho 3.51, 2 Pr 3.57
Pr  0.2908  0.4609  0.0000  8 Tl 3.38-3.46, 3 Pr 3.57-3.77
Pr  0.3591  0.8728  0.0000  8 Tl 3.40-3.67, 1 Ho 3.51, 2 Pr 3.57
Pr  0.4609  0.2908  0.0000  8 Tl 3.38-3.46, 3 Pr 3.57-3.77
Pr  0.5391  0.7091  0.0000  8 Tl 3.38-3.46, 3 Pr 3.57-3.77
Pr  0.6409  0.1272  0.0000  8 Tl 3.40-3.67, 1 Ho 3.51, 2 Pr 3.57
Pr  0.7091  0.5391  0.0000  8 Tl 3.38-3.46, 3 Pr 3.57-3.77
Pr  0.8728  0.3591  0.0000  8 Tl 3.40-3.67, 1 Ho 3.51, 2 Pr 3.57
Ho  0.0627  0.2368  0.0000  6 Tl 3.22-3.40, 2 Pr 3.32-3.51, 2 Ho 3.57
Ho  0.2368  0.0627  0.0000  6 Tl 3.22-3.40, 2 Pr 3.32-3.51, 2 Ho 3.57
Ho  0.7632  0.9373  0.0000  6 Tl 3.22-3.40, 2 Pr 3.32-3.51, 2 Ho 3.57
Ho  0.9373  0.7632  0.0000  6 Tl 3.22-3.40, 2 Pr 3.32-3.51, 2 Ho 3.57
Tl  0.0797  0.4297  0.5000  2 Ho 3.25, 3 Tl 3.33-3.57, 6 Pr 3.42-3.46
Tl  0.1335  0.8665  0.5000  4 Ho 3.40, 6 Pr 3.46-3.67, 2 Tl 3.57
Tl  0.2533  0.2533  0.5000  4 Ho 3.22, 4 Pr 3.41, 2 Tl 3.57
Tl  0.3336  0.6664  0.5000  8 Pr 3.38-3.40, 3 Tl 3.57-3.69
Tl  0.4297  0.0797  0.5000  2 Ho 3.25, 3 Tl 3.33-3.57, 6 Pr 3.42-3.46
Tl  0.5000  0.5000  0.5000  8 Pr 3.43, 4 Tl 3.57-3.69
Tl  0.5703  0.9203  0.5000  2 Ho 3.25, 3 Tl 3.33-3.57, 6 Pr 3.42-3.46
Tl  0.6664  0.3336  0.5000  8 Pr 3.38-3.40, 3 Tl 3.57-3.69
Tl  0.7467  0.7467  0.5000  4 Ho 3.22, 4 Pr 3.41, 2 Tl 3.57
Tl  0.8665  0.1335  0.5000  4 Ho 3.40, 6 Pr 3.46-3.67, 2 Tl 3.57
Tl  0.9203  0.5703  0.5000  2 Ho 3.25, 3 Tl 3.33-3.57, 6 Pr 3.42-3.46


Compound: Pr2HoTl4
Source: Alexandria via LeMat-Bulk
Functional: PBE
Structure: relaxed

Properties
- E (eV per atom) = -3.2628
- formation energy from the elements (eV/f.u.) = 0.8

Cell lengths 8.9786, 8.9786, 8.9786 Å; angles 142.45, 142.45, 54.15 degrees
Closest atoms and distances in Å follow each position.
Fractional coordinates of all 7 atoms:
Pr  0.1055  0.1055  0.0000  5 Tl 3.24-3.35, 1 Pr 3.37
Pr  0.8945  0.8945  0.0000  5 Tl 3.24-3.35, 1 Pr 3.37
Ho  0.5000  0.5000  0.0000  6 Tl 2.89-3.06
Tl  0.0000  0.5000  0.5000  2 Ho 2.89
Tl  0.3084  0.3084  0.0000  1 Ho 3.06, 1 Pr 3.24
Tl  0.5000  0.0000  0.5000  2 Ho 2.89
Tl  0.6916  0.6916  0.0000  1 Ho 3.06, 1 Pr 3.24


Compound: Pr15Ho4Tl
Source: Alexandria via LeMat-Bulk
Functional: PBE
Structure: relaxed

Properties
- E (eV per atom) = -4.6445
- formation energy from the elements (eV/f.u.) = -0.5

Cell lengths 5.1429, 5.1429, 25.9511 Å; angles 90.00, 90.00, 90.00 degrees
Closest atoms and distances in Å follow each position.
Fractional coordinates of all 20 atoms:
Pr  0.0000  0.0000  0.0000  8 Pr 3.61, 4 Tl 3.64
Pr  0.0000  0.0000  0.1980  4 Ho 3.64, 8 Pr 3.66-3.67
Pr  0.0000  0.0000  0.3993  4 Ho 3.64, 8 Pr 3.66-3.67
Pr  0.0000  0.0000  0.6007  4 Ho 3.64, 8 Pr 3.66-3.67
Pr  0.0000  0.0000  0.8020  4 Ho 3.64, 8 Pr 3.66-3.67
Pr  0.0000  0.5000  0.0975  2 Tl 3.61, 8 Pr 3.61-3.66, 2 Ho 3.67
Pr  0.0000  0.5000  0.2990  8 Pr 3.64-3.67, 4 Ho 3.66-3.67
Pr  0.0000  0.5000  0.5000  8 Pr 3.64-3.67, 4 Ho 3.66
Pr  0.0000  0.5000  0.7010  8 Pr 3.64-3.67, 4 Ho 3.66-3.67
Pr  0.0000  0.5000  0.9025  2 Tl 3.61, 8 Pr 3.61-3.66, 2 Ho 3.67
Pr  0.5000  0.0000  0.0975  2 Tl 3.61, 8 Pr 3.61-3.66, 2 Ho 3.67
Pr  0.5000  0.0000  0.2990  8 Pr 3.64-3.67, 4 Ho 3.66-3.67
Pr  0.5000  0.0000  0.5000  8 Pr 3.64-3.67, 4 Ho 3.66
Pr  0.5000  0.0000  0.7010  8 Pr 3.64-3.67, 4 Ho 3.66-3.67
Pr  0.5000  0.0000  0.9025  2 Tl 3.61, 8 Pr 3.61-3.66, 2 Ho 3.67
Ho  0.5000  0.5000  0.1985  12 Pr 3.64-3.67
Ho  0.5000  0.5000  0.3998  12 Pr 3.64-3.67
Ho  0.5000  0.5000  0.6002  12 Pr 3.64-3.67
Ho  0.5000  0.5000  0.8015  12 Pr 3.64-3.67
Tl  0.5000  0.5000  0.0000  12 Pr 3.61-3.64


Compound: Pr7Ho12Tl
Source: Alexandria via LeMat-Bulk
Functional: PBE
Structure: relaxed

Properties
- E (eV per atom) = -4.3654
- formation energy from the elements (eV/f.u.) = 3.4

Cell lengths 8.7510, 8.7819, 8.7987 Å; angles 89.13, 89.61, 89.03 degrees
Closest atoms and distances in Å follow each position.
Fractional coordinates of all 20 atoms:
Pr  0.0000  0.0000  0.0000  6 Pr 3.58-3.60, 6 Ho 3.63-3.65
Pr  0.1223  0.7153  0.2735  6 Ho 3.29-3.65, 1 Pr 3.60
Pr  0.2682  0.1196  0.7135  6 Ho 3.29-3.59, 2 Pr 3.59-3.68
Pr  0.2859  0.7320  0.8776  6 Ho 3.29-3.60, 2 Pr 3.58-3.68
Pr  0.7141  0.2680  0.1224  6 Ho 3.29-3.60, 2 Pr 3.58-3.68
Pr  0.7318  0.8804  0.2865  6 Ho 3.29-3.59, 2 Pr 3.59-3.68
Pr  0.8777  0.2847  0.7265  6 Ho 3.29-3.65, 1 Pr 3.60
Ho  0.0413  0.1599  0.3761  6 Ho 3.51-3.93, 5 Pr 3.57-3.78
Ho  0.1599  0.3793  0.0371  6 Ho 3.50-3.84, 5 Pr 3.57-3.81
Ho  0.1660  0.4941  0.6140  1 Tl 3.08, 2 Pr 3.29-3.33
Ho  0.3791  0.0378  0.1584  6 Ho 3.52-3.87, 5 Pr 3.54-3.78
Ho  0.3924  0.8342  0.5053  1 Tl 3.07, 2 Pr 3.29-3.32
Ho  0.4954  0.6104  0.1660  1 Tl 3.08, 2 Pr 3.29-3.36
Ho  0.5046  0.3896  0.8340  1 Tl 3.08, 2 Pr 3.29-3.36
Ho  0.6076  0.1658  0.4947  1 Tl 3.07, 2 Pr 3.29-3.32
Ho  0.6209  0.9622  0.8416  6 Ho 3.52-3.87, 5 Pr 3.54-3.78
Ho  0.8340  0.5059  0.3860  1 Tl 3.08, 2 Pr 3.29-3.33
Ho  0.8401  0.6207  0.9629  6 Ho 3.50-3.84, 5 Pr 3.57-3.81
Ho  0.9587  0.8401  0.6239  6 Ho 3.51-3.93, 5 Pr 3.57-3.78
Tl  0.5000  0.5000  0.5000  6 Ho 3.07-3.08